Entry 1:
Ni3Ir, optimized geometry, DFT PBE-GGA; formation enthalpy at 0 K = 0.0279 eV per atom; ρ = 12723 kg/m³; magnetic moment = 2.4 Bohr magnetons per cell; symmetry = Imm2
1.0
-1.3078 4.1603 2.2088
1.3078 -4.1603 2.2088
1.3078 4.1603 -2.2088
Ni Ir
3 1
direct
0.0000 0.0000 0.0000
0.0895 0.3404 0.7490
0.5914 0.3404 0.2510
0.4976 0.9976 0.5000

---

Entry 2:
NaSnB2I, optimized geometry, DFT PBE-GGA; ρ = 2989 kg/m³; magnetic moment = 0.0 Bohr magnetons per cell; total energy = -3.0156 eV per atom; symmetry = P4/mmm
1.0
4.4383 0.0000 0.0000
0.0000 4.4383 0.0000
0.0000 0.0000 8.1840
Na Sn B I
1 1 2 1
direct
0.0000 0.0000 0.0000
0.0000 0.0000 0.5000
0.0000 0.5000 0.5000
0.5000 0.0000 0.5000
0.5000 0.5000 0.0000

---

Entry 3:
ZrBe2Os2, optimized geometry, DFT PBE-GGA; formation enthalpy at 0 K = -0.0291 eV per atom; ρ = 11349 kg/m³; magnetic moment = 0.0 Bohr magnetons per cell; symmetry = I4/mmm; energy above the lowest structure with this stoichiometry = 0.282 eV per atom
1.0
-1.9831 1.9831 4.5549
1.9831 -1.9831 4.5549
1.9831 1.9831 -4.5549
Zr Be Os
1 2 2
direct
0.0000 0.0000 0.0000
0.2500 0.7500 0.5000
0.7500 0.2500 0.5000
0.3692 0.3692 0.0000
0.6308 0.6308 0.0000

---

Entry 4:
NaYCdP2, optimized geometry, DFT PBE-GGA; formation enthalpy at 0 K = 0.3844 eV per atom; ρ = 2606 kg/m³; magnetic moment = 0.0 Bohr magnetons per cell; symmetry = P4/mmm
1.0
5.2230 0.0000 0.0000
0.0000 5.2230 0.0000
0.0000 0.0000 6.6860
Na Y Cd P
1 1 1 2
direct
0.0000 0.0000 0.0000
0.0000 0.0000 0.5000
0.5000 0.5000 0.0000
0.0000 0.5000 0.5000
0.5000 0.0000 0.5000

---

Entry 5:
Rb2MgAgF6, optimized geometry, DFT PBE-GGA; ρ = 4359 kg/m³; magnetic moment = 1.0 Bohr magnetons per cell; total energy = -4.2827 eV per atom; symmetry = I4/mmm
1.0
-3.0787 3.0787 4.1906
3.0787 -3.0787 4.1906
3.0787 3.0787 -4.1906
Rb Mg Ag F
2 1 1 6
direct
0.2500 0.7500 0.5000
0.7500 0.2500 0.5000
0.0000 0.0000 0.0000
0.5000 0.5000 0.0000
0.2306 0.2306 0.4611
0.2306 0.7694 0.0000
0.2468 0.2468 0.0000
0.7532 0.7532 0.0000
0.7694 0.2306 0.0000
0.7694 0.7694 0.5389

---

Entry 6:
NaPaNO, optimized geometry, DFT PBE-GGA; ρ = 6566 kg/m³; magnetic moment = 0.5 Bohr magnetons per cell; total energy = -7.9618 eV per atom; symmetry = R-3m
1.0
1.8602 1.0740 11.9849
-1.8602 1.0740 11.9849
0.0000 -2.1480 11.9849
Na Pa N O
2 2 2 2
direct
0.2068 0.2068 0.2068
0.7932 0.7932 0.7932
0.3753 0.3753 0.3753
0.6247 0.6247 0.6247
0.3108 0.3108 0.3108
0.6892 0.6892 0.6892
0.0733 0.0733 0.0733
0.9267 0.9267 0.9267

---

> The lowest ρ belongs to which entry?

NaYCdP2